Entry from Alexandria: a relaxed structure of Sr6CdPd2 (PBE).

Cell and atoms, written as POSCAR:
```
Sr6CdPd2
1.0
-5.201 5.407 5.833
5.201 -5.407 5.833
5.201 5.407 -5.833
Sr Cd Pd
12 2 4
Cartesian
5.201 3.294 -3.045
3.011 1.902 0.000
7.390 1.902 0.000
1.880 5.407 -1.901
3.321 0.000 3.932
0.000 2.113 2.787
5.201 3.294 3.045
1.880 5.407 1.901
3.321 0.000 7.734
-2.190 3.504 5.833
2.190 3.504 5.833
0.000 2.113 8.878
0.000 0.000 0.000
0.000 0.000 5.833
5.201 0.000 1.449
0.000 3.444 0.000
0.000 7.369 0.000
0.000 5.407 4.384
```

- Final energy: -2.76 eV/atom
- Formation energy: -381.9 meV per atom